# 1
VASP calculation (PBE+U) on SrMnCoF6 after structural relaxation.

For the volume, the calculation gives 268 Å³/cell. The density of states at the Fermi level comes out at 0.0 states/eV per cell. The final energy is -96.1 eV for the cell shown.

It has space group P4_2nm (No. 102), with a = 5.105 Å, b = 5.105 Å, c = 10.277 Å, α = 90.00°, β = 90.00° and γ = 90.00°. The distinct sites, in fractional coordinates, are Sr at (0.000, 0.000, 0.000), Mn at (0.000, 0.000, 0.332), Co at (0.000, 0.000, 0.668), F at (0.173, 0.173, 0.506), F at (0.209, 0.209, 0.814) and F at (0.215, 0.215, 0.183).

---

# 2
VASP calculation (PBE+U) on MnTl2Co3F12 after structural relaxation.

For the volume, the calculation gives 856 Å³/cell. The density of states at the Fermi level comes out at 24.5 states/eV per cell. The final energy is -262.4 eV for the cell shown.

It has space group R-3m (No. 166, hexagonal axes), with a = 7.4133 Å, b = 7.4133 Å, c = 17.9759 Å, α = 90.00°, β = 90.00° and γ = 120.00°. The distinct sites, in fractional coordinates, are Mn at (0.0000, 0.0000, 0.0000), Tl at (0.0000, 0.0000, 0.3747), Co at (0.0000, 0.5000, 0.5000), F at (0.0454, 0.5227, 0.6060) and F at (0.0707, 0.5353, 0.8506).

---

# 3
VASP calculation (PBE+U) on MnTlCoF6 after structural relaxation.

For the volume, the calculation gives 311 Å³/cell. The final energy is -92.3 eV for the cell shown.

It has space group C2 (No. 5), with a = 5.538 Å, b = 9.262 Å, c = 6.061 Å, α = 90.00°, β = 90.28° and γ = 90.00°. The distinct sites, in fractional coordinates, are Mn at (0.000, 0.000, 0.000), Tl at (0.000, 0.661, 0.500), Co at (0.000, 0.339, 0.000), F at (0.127, 0.155, 0.172), F at (0.170, 0.859, 0.171) and F at (0.182, 0.476, 0.194).

---

# 4
VASP calculation (PBE+U) on Mn2Tl3CoF9 after structural relaxation.

For the volume, the calculation gives 250 Å³/cell. The density of states at the Fermi level comes out at 1.4 states/eV per cell. The final energy is -64.9 eV for the cell shown.

It has space group P-3m1 (No. 164), with a = 6.5160 Å, b = 6.5160 Å, c = 6.7968 Å, α = 90.00°, β = 90.00° and γ = 120.00°. The distinct sites, in fractional coordinates, are Mn at (0.3333, 0.6667, 0.4522), Tl at (0.0000, 0.0000, 0.5000), Tl at (0.3333, 0.6667, 0.0492), Co at (0.0000, 0.0000, 0.0000), F at (0.0000, 0.5000, 0.5000) and F at (0.1584, 0.3169, 0.8380).

---

# 5
VASP calculation (PBE+U) on Mn3Tl2CoF12 after structural relaxation.

For the volume, the calculation gives 920 Å³/cell. The density of states at the Fermi level comes out at 12.5 states/eV per cell. The final energy is -288.3 eV for the cell shown.

It has space group R-3m (No. 166, hexagonal axes), with a = 7.5196 Å, b = 7.5196 Å, c = 18.7847 Å, α = 90.00°, β = 90.00° and γ = 120.00°. The distinct sites, in fractional coordinates, are Mn at (0.0000, 0.5000, 0.0000), Tl at (0.0000, 0.0000, 0.1679), Co at (0.0000, 0.0000, 0.5000), F at (0.0831, 0.5415, 0.1107) and F at (0.0850, 0.5425, 0.3613).

---

# 6
VASP calculation (PBE+U) on Mn2CoWF after structural relaxation.

For the volume, the calculation gives 103 Å³/cell. The density of states at the Fermi level comes out at 1.5 states/eV per cell. The final energy is -25.2 eV for the cell shown.

It has space group P4/mmm (No. 123), with a = 4.788 Å, b = 4.788 Å, c = 4.487 Å, α = 90.00°, β = 90.00° and γ = 90.00°. The distinct sites, in fractional coordinates, are Mn at (0.000, 0.500, 0.000), Co at (0.000, 0.000, 0.000), W at (0.000, 0.000, 0.500) and F at (0.500, 0.500, 0.500).

---

# 7
VASP calculation (PBE+U) on MnZn2CoF after structural relaxation.

For the volume, the calculation gives 80 Å³/cell. The density of states at the Fermi level comes out at 1.7 states/eV per cell. The final energy is -16.8 eV for the cell shown.

It has space group P4/mmm (No. 123), with a = 4.426 Å, b = 4.426 Å, c = 4.102 Å, α = 90.00°, β = 90.00° and γ = 90.00°. The distinct sites, in fractional coordinates, are Mn at (0.000, 0.000, 0.000), Zn at (0.000, 0.500, 0.500), Co at (0.500, 0.500, 0.000) and F at (0.500, 0.500, 0.500).

---

# 8
VASP calculation (PBE+U) on CoMoF2 after structural relaxation.

For the volume, the calculation gives 184 Å³/cell. The density of states at the Fermi level comes out at 3.4 states/eV per cell. The final energy is -54.0 eV for the cell shown.

It has space group R-3m (No. 166, hexagonal axes), with a = 3.0279 Å, b = 3.0279 Å, c = 23.1549 Å, α = 90.00°, β = 90.00° and γ = 120.00°. The distinct sites, in fractional coordinates, are Co at (0.0000, 0.0000, 0.0000), Mo at (0.0000, 0.0000, 0.5000) and F at (0.0000, 0.0000, 0.0805).

---

# 9
VASP calculation (PBE+U) on CoMoF2 after structural relaxation.

For the volume, the calculation gives 298 Å³/cell. The density of states at the Fermi level comes out at 10.1 states/eV per cell. The final energy is -73.2 eV for the cell shown.

It has space group I-42d (No. 122), with a = 5.310 Å, b = 5.310 Å, c = 10.560 Å, α = 90.00°, β = 90.00° and γ = 90.00°. The distinct sites, in fractional coordinates, are Co at (0.000, 0.000, 0.000), Mo at (0.000, 0.000, 0.500) and F at (0.146, 0.250, 0.125).

---

# 10
VASP calculation (PBE+U) on CoMo2F after structural relaxation.

For the volume, the calculation gives 228 Å³/cell. The density of states at the Fermi level comes out at 8.7 states/eV per cell. The final energy is -68.2 eV for the cell shown.

It has space group I-42d (No. 122), with a = 6.365 Å, b = 6.365 Å, c = 5.631 Å, α = 90.00°, β = 90.00° and γ = 90.00°. The distinct sites, in fractional coordinates, are Co at (0.000, 0.000, 0.000), Mo at (0.220, 0.250, 0.625) and F at (0.000, 0.000, 0.500).